No. 1
Compound: LiCeMg
Source: Alexandria
Functional: PBE
Structure: optimized geometry

**Calculated volume**: 68.1 Å³/f.u.
**ΔE_f**: 0.0037 eV/atom

CIF file:
```
data_LiCeMg
_cell_length_a 3.1248
_cell_length_b 3.1248
_cell_length_c 13.9498
_cell_angle_alpha 90.00
_cell_angle_beta 90.00
_cell_angle_gamma 90.00
_symmetry_space_group_name_H-M 'P 4/n m m'
_symmetry_Int_Tables_number 129
loop_
_symmetry_equiv_pos_as_xyz
'x,y,z'
'-x,-y,-z'
'-y+1/2,x,z'
'y+1/2,-x,-z'
'-x+1/2,-y+1/2,z'
'x+1/2,y+1/2,-z'
'y,-x+1/2,z'
'-y,x+1/2,-z'
'x+1/2,-y,-z'
'-x+1/2,y,z'
'-y,-x,-z'
'y,x,z'
'-x,y+1/2,-z'
'x,-y+1/2,z'
'y+1/2,x+1/2,-z'
'-y+1/2,-x+1/2,z'
loop_
_atom_site_label
_atom_site_fract_x
_atom_site_fract_y
_atom_site_fract_z
Li1 0.2500 0.2500 0.0692
Ce1 0.2500 0.2500 0.4080
Mg1 0.2500 0.2500 0.7829
```

No. 2
Compound: K2RbSnH
Source: Alexandria
Functional: PBE
Structure: optimized geometry

**Raw total energy**: -2.141 eV/atom
**Calculated volume**: 178.7 Å³/f.u.

CIF file:
```
data_K2RbSnH
_cell_length_a 5.5614
_cell_length_b 5.5614
_cell_length_c 5.7777
_cell_angle_alpha 90.00
_cell_angle_beta 90.00
_cell_angle_gamma 90.00
_symmetry_space_group_name_H-M 'P 4/m m m'
_symmetry_Int_Tables_number 123
_symmetry_space_group_name_Hall '-P 4 2'
loop_
_atom_site_label
_atom_site_fract_x
_atom_site_fract_y
_atom_site_fract_z
K1 0.0000 0.5000 0.0000
Rb1 0.0000 0.0000 0.5000
Sn1 0.5000 0.5000 0.5000
H1 0.0000 0.0000 0.0000
```

No. 3
Compound: Na3CaMn
Source: Alexandria
Functional: PBE
Structure: optimized geometry

**Calculated volume**: 256.6 Å³/f.u.
**ΔE_f**: 1.0992 eV/atom

CIF file:
```
data_Na3CaMn
_cell_length_a 6.3542
_cell_length_b 6.3542
_cell_length_c 6.3542
_cell_angle_alpha 90.00
_cell_angle_beta 90.00
_cell_angle_gamma 90.00
_symmetry_space_group_name_H-M 'P m -3 m'
_symmetry_Int_Tables_number 221
_symmetry_space_group_name_Hall '-P 4 2 3'
loop_
_atom_site_label
_atom_site_fract_x
_atom_site_fract_y
_atom_site_fract_z
Na1 0.0000 0.0000 0.5000
Ca1 0.0000 0.0000 0.0000
Mn1 0.5000 0.5000 0.5000
```

No. 4
Compound: HgAu2Br2
Source: Alexandria
Functional: PBE
Structure: optimized geometry

**Formation energy (no corrections)**: 0.118 eV per atom
**Calculated volume**: 151.5 Å³/f.u.

CIF file:
```
data_HgAu2Br2
_cell_length_a 4.0397
_cell_length_b 4.0397
_cell_length_c 18.5724
_cell_angle_alpha 90.00
_cell_angle_beta 90.00
_cell_angle_gamma 90.00
_symmetry_space_group_name_H-M 'I 4/m m m'
_symmetry_Int_Tables_number 139
_symmetry_space_group_name_Hall '-I 4 2'
loop_
_atom_site_label
_atom_site_fract_x
_atom_site_fract_y
_atom_site_fract_z
Hg1 0.0000 0.0000 0.0000
Au1 0.0000 0.5000 0.2500
Br1 0.0000 0.0000 0.3595
```

No. 5
Compound: HfTi2Ni
Source: Alexandria
Functional: PBE
Structure: optimized geometry

**Calculated volume**: 66.2 Å³/f.u.
**ΔE_f**: -0.1758 eV/atom

CIF file:
```
data_HfTi2Ni
_cell_length_a 3.0592
_cell_length_b 3.0592
_cell_length_c 7.0728
_cell_angle_alpha 90.00
_cell_angle_beta 90.00
_cell_angle_gamma 90.00
_symmetry_space_group_name_H-M 'P 4/m m m'
_symmetry_Int_Tables_number 123
_symmetry_space_group_name_Hall '-P 4 2'
loop_
_atom_site_label
_atom_site_fract_x
_atom_site_fract_y
_atom_site_fract_z
Hf1 0.0000 0.0000 0.0000
Ti1 0.5000 0.5000 0.2889
Ni1 0.0000 0.0000 0.5000
```

No. 6
Compound: KMg3Co
Source: Alexandria
Functional: PBE
Structure: optimized geometry

**Calculated volume**: 127.9 Å³/f.u.
**ΔE_f**: 0.2203 eV/atom

CIF file:
```
data_KMg3Co
_cell_length_a 5.0387
_cell_length_b 5.0387
_cell_length_c 5.0387
_cell_angle_alpha 90.00
_cell_angle_beta 90.00
_cell_angle_gamma 90.00
_symmetry_space_group_name_H-M 'P m -3 m'
_symmetry_Int_Tables_number 221
_symmetry_space_group_name_Hall '-P 4 2 3'
loop_
_atom_site_label
_atom_site_fract_x
_atom_site_fract_y
_atom_site_fract_z
K1 0.0000 0.0000 0.0000
Mg1 0.0000 0.5000 0.5000
Co1 0.5000 0.5000 0.5000
```

No. 7
Compound: Tm3ScTc8
Source: Alexandria
Functional: PBE
Structure: optimized geometry

**Calculated volume**: 215.4 Å³/f.u.
**ΔE_f**: -0.2176 eV/atom

CIF file:
```
data_Tm3ScTc8
_cell_length_a 5.3428
_cell_length_b 5.3428
_cell_length_c 26.1410
_cell_angle_alpha 90.00
_cell_angle_beta 90.00
_cell_angle_gamma 120.00
_symmetry_space_group_name_H-M 'R 3 m'
_symmetry_Int_Tables_number 160
_symmetry_space_group_name_Hall 'R 3 -2"'
loop_
_atom_site_label
_atom_site_fract_x
_atom_site_fract_y
_atom_site_fract_z
Tm1 0.0000 0.0000 0.0000
Tm2 0.0000 0.0000 0.1258
Tm3 0.0000 0.0000 0.5013
Sc1 0.0000 0.0000 0.6255
Tc1 0.0000 0.0000 0.3130
Tc2 0.0000 0.0000 0.8132
Tc3 0.0007 0.5003 0.5640
Tc4 0.1673 0.3347 0.3956
```

No. 8
Compound: LaPmCdBi
Source: Alexandria
Functional: PBE
Structure: optimized geometry

**Calculated volume**: 121.6 Å³/f.u.
**ΔE_f**: -0.5210 eV/atom

CIF file:
```
data_LaPmCdBi
_cell_length_a 7.8652
_cell_length_b 7.8652
_cell_length_c 7.8652
_cell_angle_alpha 90.00
_cell_angle_beta 90.00
_cell_angle_gamma 90.00
_symmetry_space_group_name_H-M 'F -4 3 m'
_symmetry_Int_Tables_number 216
_symmetry_space_group_name_Hall 'F -4 2 3'
loop_
_atom_site_label
_atom_site_fract_x
_atom_site_fract_y
_atom_site_fract_z
La1 0.0000 0.0000 0.0000
Pm1 0.0000 0.0000 0.5000
Cd1 0.2500 0.2500 0.7500
Bi1 0.2500 0.2500 0.2500
```

No. 9
Compound: CsPuHg2
Source: Alexandria
Functional: PBE
Structure: optimized geometry

**Calculated volume**: 136.5 Å³/f.u.
**ΔE_f**: -0.0702 eV/atom

CIF file:
```
data_CsPuHg2
_cell_length_a 3.8690
_cell_length_b 3.8690
_cell_length_c 9.1172
_cell_angle_alpha 90.00
_cell_angle_beta 90.00
_cell_angle_gamma 90.00
_symmetry_space_group_name_H-M 'P 4/m m m'
_symmetry_Int_Tables_number 123
_symmetry_space_group_name_Hall '-P 4 2'
loop_
_atom_site_label
_atom_site_fract_x
_atom_site_fract_y
_atom_site_fract_z
Cs1 0.0000 0.0000 0.0000
Pu1 0.0000 0.0000 0.5000
Hg1 0.5000 0.5000 0.3061
```

No. 10
Compound: CsSmPt10
Source: Alexandria
Functional: PBE
Structure: optimized geometry

**Calculated volume**: 233.5 Å³/f.u.
**ΔE_f**: -0.3300 eV/atom

CIF file:
```
data_CsSmPt10
_cell_length_a 4.3697
_cell_length_b 5.5819
_cell_length_c 9.5722
_cell_angle_alpha 90.00
_cell_angle_beta 90.00
_cell_angle_gamma 90.00
_symmetry_space_group_name_H-M 'P m m m'
_symmetry_Int_Tables_number 47
loop_
_symmetry_equiv_pos_as_xyz
'x,y,z'
'-x,-y,-z'
'-x,-y,z'
'x,y,-z'
'x,-y,-z'
'-x,y,z'
'-x,y,-z'
'x,-y,z'
loop_
_atom_site_label
_atom_site_fract_x
_atom_site_fract_y
_atom_site_fract_z
Cs1 0.0000 0.0000 0.0000
Sm1 0.0000 0.5000 0.5000
Pt1 0.0000 0.0000 0.3408
Pt2 0.0000 0.5000 0.1769
Pt3 0.5000 0.0000 0.5000
Pt4 0.5000 0.2569 0.2630
Pt5 0.5000 0.5000 0.0000
```

No. 11
Compound: RbLiSmCl5
Source: Alexandria
Functional: PBE
Structure: optimized geometry

**Formation energy (no corrections)**: -2.101 eV per atom
**Calculated volume**: 262.6 Å³/f.u.

CIF file:
```
data_RbLiSmCl5
_cell_length_a 9.1021
_cell_length_b 12.3024
_cell_length_c 10.2534
_cell_angle_alpha 90.00
_cell_angle_beta 113.83
_cell_angle_gamma 90.00
_symmetry_space_group_name_H-M 'C 1 2/c 1'
_symmetry_Int_Tables_number 15
loop_
_symmetry_equiv_pos_as_xyz
'x,y,z'
'-x,-y,-z'
'-x,y,-z+1/2'
'x,-y,z+1/2'
'x+1/2,y+1/2,z'
'-x+1/2,-y+1/2,-z'
'-x+1/2,y+1/2,-z+1/2'
'x+1/2,-y+1/2,z+1/2'
loop_
_atom_site_label
_atom_site_fract_x
_atom_site_fract_y
_atom_site_fract_z
Rb1 0.0000 0.1563 0.2500
Li1 0.0000 0.1904 0.7500
Sm1 0.0000 0.5000 0.0000
Cl1 0.0000 0.4238 0.2500
Cl2 0.1021 0.2994 0.6089
Cl3 0.1921 0.0658 0.9174
```